# 1
Below is a geometry-optimized ZnCo2AuN structure, with properties calculated at the PBE-GGA level.

a = 3.719 Å, b = 3.719 Å, c = 4.355 Å
α = 90.00°, β = 90.00°, γ = 90.00°
Element x y z (fractional)
Zn 0.000 0.000 0.000
Co 0.000 0.500 0.500
Co 0.500 0.000 0.500
Au 0.500 0.500 0.000
N 0.000 0.000 0.500

Results
SG ... P4/mmm (123)
Uncorrected formation energy ... 0.083 eV/atom
Raw total energy ... -5.335 eV/atom


# 2
Below is a geometry-optimized LiNdTmIn structure, with properties calculated at the PBE-GGA level.

a = 5.328 Å, b = 5.328 Å, c = 5.328 Å
α = 60.00°, β = 60.00°, γ = 60.00°
Element x y z (fractional)
Li 0.000 0.000 0.000
Nd 0.750 0.750 0.750
Tm 0.250 0.250 0.250
In 0.500 0.500 0.500

Results
SG ... F-43m (216)
ΔH_f (0 K) ... -0.254 eV/atom
Raw total energy ... -3.727 eV/atom


# 3
Below is a geometry-optimized NaHgRuCl6 structure, with properties calculated at the PBE-GGA level.

a = 6.676 Å, b = 6.676 Å, c = 11.315 Å
α = 90.00°, β = 90.00°, γ = 120.00°
Element x y z (fractional)
Na 0.333 0.667 0.250
Na 0.667 0.333 0.750
Hg 0.000 0.000 0.000
Hg 0.000 0.000 0.500
Ru 0.333 0.667 0.750
Ru 0.667 0.333 0.250
Cl 0.042 0.380 0.628
Cl 0.042 0.662 0.872
Cl 0.338 0.380 0.872
Cl 0.338 0.958 0.628
Cl 0.380 0.042 0.128
Cl 0.380 0.338 0.372
Cl 0.620 0.662 0.628
Cl 0.620 0.958 0.872
Cl 0.662 0.042 0.372
Cl 0.662 0.620 0.128
Cl 0.958 0.338 0.128
Cl 0.958 0.620 0.372

Results
SG ... P-31c (163)
Uncorrected formation energy ... -0.756 eV/atom
Raw total energy ... -3.198 eV/atom


# 4
Below is a geometry-optimized NaNdHoSn structure, with properties calculated at the PBE-GGA level.

a = 5.401 Å, b = 5.401 Å, c = 5.401 Å
α = 60.00°, β = 60.00°, γ = 60.00°
Element x y z (fractional)
Na 0.000 0.000 0.000
Nd 0.750 0.750 0.750
Ho 0.250 0.250 0.250
Sn 0.500 0.500 0.500

Results
SG ... F-43m (216)
ΔH_f (0 K) ... -0.286 eV/atom
Raw total energy ... -3.953 eV/atom